Record 1
Here is crystalline KYGa4 at its relaxed geometry from Alexandria via LeMat-Bulk. Energies are from GGA-PBE.

Formation enthalpy at 0 K   -0.23 eV per atom
Total DFT energy (no corrections)   -3.505 eV/atom

Lattice parameters (Å, degrees): 8.018 8.018 8.018 90.00 90.00 90.00
Space group F-43m (No. 216)
One atom of each set of equivalent atoms:
K (0.000, 0.000, 0.000) x4
Y (0.250, 0.250, 0.750) x4
Ga (0.125, 0.125, 0.375) x16

Record 2
Here is crystalline AlPH2Se at its relaxed geometry from Alexandria via LeMat-Bulk. Energies are from GGA-PBE.

Total DFT energy (no corrections)   -3.664 eV/atom

Lattice parameters (Å, degrees): 3.570 3.570 5.416 90.00 90.00 90.00
Space group P4/mmm (No. 123)
One atom of each set of equivalent atoms:
Al (0.000, 0.000, 0.000) x1
P (0.500, 0.500, 0.500) x1
H (0.000, 0.500, 0.000) x2
Se (0.000, 0.000, 0.500) x1

Record 3
Here is crystalline AlNi2I at its relaxed geometry from Alexandria via LeMat-Bulk. Energies are from GGA-PBE.

Offset from the most stable computed form   32 kJ/mol of formula units
Total DFT energy (no corrections)   -3.810 eV/atom

Lattice parameters (Å, degrees): 6.341 6.341 6.341 90.00 90.00 90.00
Space group Fm-3m (No. 225)
One atom of each set of equivalent atoms:
Al (0.000, 0.000, 0.000) x4
Ni (0.250, 0.250, 0.250) x8
I (0.000, 0.000, 0.500) x4

Record 4
Here is crystalline Y3Rh2 at its relaxed geometry from Alexandria via LeMat-Bulk. Energies are from GGA-PBE.

Formation enthalpy at 0 K   -0.47 eV per atom
Offset from the most stable computed form   131 kJ/mol of formula units
Total DFT energy (no corrections)   -7.289 eV/atom

Lattice parameters (Å, degrees): 10.370 13.962 6.364 90.00 90.00 90.00
Space group Fdd2 (No. 43)
One atom of each set of equivalent atoms:
Y (0.000, 0.000, 0.000) x8
Y (0.050, 0.388, 0.961) x16
Rh (0.038, 0.298, 0.542) x16

Record 5
Here is crystalline Pr5Y2Er12 at its relaxed geometry from Alexandria via LeMat-Bulk. Energies are from GGA-PBE.

Formation enthalpy at 0 K   0.06 eV per atom
Offset from the most stable computed form   0 kJ/mol of formula units
Total DFT energy (no corrections)   -4.756 eV/atom

Lattice parameters (Å, degrees): 6.288 9.039 10.986 87.26 82.14 87.71
Space group P-1 (No. 2)
One atom of each set of equivalent atoms:
Pr (0.000, 0.000, 0.000) x1
Pr (0.124, 0.987, 0.345) x2
Pr (0.270, 0.553, 0.944) x2
Y (0.457, 0.495, 0.345) x2
Er (0.015, 0.343, 0.767) x2
Er (0.072, 0.663, 0.549) x2
Er (0.184, 0.294, 0.161) x2
Er (0.354, 0.858, 0.748) x2
Er (0.399, 0.175, 0.555) x2
Er (0.499, 0.824, 0.114) x2

Record 6
Here is crystalline Tl2InAgBr6 at its relaxed geometry from Alexandria via LeMat-Bulk. Energies are from GGA-PBE.

Total DFT energy (no corrections)   -2.769 eV/atom

Lattice parameters (Å, degrees): 7.550 7.915 13.150 90.00 124.67 90.00
Space group P2_1/c (No. 14)
One atom of each set of equivalent atoms:
Tl (0.226, 0.078, 0.250) x4
In (0.500, 0.000, 0.000) x2
Ag (0.000, 0.000, 0.500) x2
Br (0.164, 0.191, 0.958) x4
Br (0.271, 0.709, 0.960) x4
Br (0.341, 0.010, 0.753) x4

Record 7
Here is crystalline Ba2ZnCuH6 at its relaxed geometry from Alexandria via LeMat-Bulk. Energies are from GGA-PBE.

Total DFT energy (no corrections)   -3.182 eV/atom

Lattice parameters (Å, degrees): 5.670 5.670 8.087 90.00 90.00 90.00
Space group I4/mmm (No. 139)
One atom of each set of equivalent atoms:
Ba (0.000, 0.500, 0.250) x4
Zn (0.000, 0.000, 0.000) x2
Cu (0.000, 0.000, 0.500) x2
H (0.000, 0.000, 0.274) x4
H (0.225, 0.225, 0.500) x8

Record 8
Here is crystalline CaBeP2O at its relaxed geometry from Alexandria via LeMat-Bulk. Energies are from GGA-PBE.

Offset from the most stable computed form   0 kJ/mol of formula units
Total DFT energy (no corrections)   -4.552 eV/atom

Lattice parameters (Å, degrees): 4.229 4.229 4.269 90.00 90.00 90.00
Space group P4/mmm (No. 123)
One atom of each set of equivalent atoms:
Ca (0.000, 0.000, 0.000) x1
Be (0.500, 0.500, 0.500) x1
P (0.000, 0.500, 0.500) x2
O (0.500, 0.500, 0.000) x1

Record 9
Here is crystalline HoPaSb at its relaxed geometry from Alexandria via LeMat-Bulk. Energies are from GGA-PBE.

Offset from the most stable computed form   56 kJ/mol of formula units
Total DFT energy (no corrections)   -6.121 eV/atom

Lattice parameters (Å, degrees): 5.2626 5.2626 3.4360 90.00 90.00 120.00
Space group P3m1 (No. 156)
One atom of each set of equivalent atoms:
Ho (0.0000, 0.0000, 0.0000) x1
Pa (0.3333, 0.6667, 0.4806) x1
Sb (0.6667, 0.3333, 0.8021) x1

Record 10
Here is crystalline Tb8AsP3S4 at its relaxed geometry from Alexandria via LeMat-Bulk. Energies are from GGA-PBE.

Total DFT energy (no corrections)   -6.510 eV/atom

Lattice parameters (Å, degrees): 7.9996 7.9996 19.5729 90.00 90.00 120.00
Space group R-3m (No. 166, hexagonal axes)
One atom of each set of equivalent atoms:
Tb (0.0000, 0.0000, 0.2471) x6
Tb (0.0050, 0.5025, 0.7517) x18
As (0.0000, 0.0000, 0.5000) x3
P (0.0000, 0.5000, 0.5000) x9
S (0.0000, 0.0000, 0.0000) x3
S (0.0000, 0.5000, 0.0000) x9

Record 11
Here is crystalline Tl3BBr6 at its relaxed geometry from Alexandria via LeMat-Bulk. Energies are from GGA-PBE.

Total DFT energy (no corrections)   -3.080 eV/atom

Lattice parameters (Å, degrees): 12.599 15.869 8.045 90.00 90.00 90.00
Space group Cmc2_1 (No. 36)
One atom of each set of equivalent atoms:
Tl (0.000, 0.098, 0.000) x4
Tl (0.198, 0.405, 0.969) x8
B (0.000, 0.315, 0.400) x4
Br (0.000, 0.310, 0.651) x4
Br (0.000, 0.439, 0.322) x4
Br (0.132, 0.258, 0.307) x8
Br (0.160, 0.010, 0.728) x8

Record 12
Here is crystalline CsNaHO2 at its relaxed geometry from Alexandria via LeMat-Bulk. Energies are from GGA-PBE.

Total DFT energy (no corrections)   -2.857 eV/atom

Lattice parameters (Å, degrees): 4.652 4.652 4.041 90.00 90.00 90.00
Space group P4/mmm (No. 123)
One atom of each set of equivalent atoms:
Cs (0.000, 0.000, 0.000) x1
Na (0.500, 0.500, 0.500) x1
H (0.000, 0.000, 0.500) x1
O (0.000, 0.500, 0.000) x2

Record 13
Here is crystalline MnCrTcPd at its relaxed geometry from Alexandria via LeMat-Bulk. Energies are from GGA-PBE.

Formation enthalpy at 0 K   0.11 eV per atom
Offset from the most stable computed form   20 kJ/mol of formula units
Total DFT energy (no corrections)   -8.478 eV/atom

Lattice parameters (Å, degrees): 9.825 2.705 4.662 90.00 117.34 90.00
Space group Cm (No. 8)
One atom of each set of equivalent atoms:
Mn (0.000, 0.000, 0.000) x2
Cr (0.233, 0.500, 0.394) x2
Tc (0.485, 0.000, 0.483) x2
Pd (0.243, 0.000, 0.894) x2

Record 14
Here is crystalline KZnAgF4 at its relaxed geometry from Alexandria via LeMat-Bulk. Energies are from GGA-PBE.

Total DFT energy (no corrections)   -3.846 eV/atom

Lattice parameters (Å, degrees): 5.167 6.077 7.527 90.00 102.39 90.00
Space group P2_1/m (No. 11)
One atom of each set of equivalent atoms:
K (0.165, 0.250, 0.106) x2
Zn (0.409, 0.250, 0.729) x2
Ag (0.189, 0.750, 0.542) x2
F (0.208, 0.750, 0.231) x2
F (0.288, 0.518, 0.818) x4
F (0.297, 0.250, 0.462) x2

Record 15
Here is crystalline Na2DyThTe4 at its relaxed geometry from Alexandria via LeMat-Bulk. Energies are from GGA-PBE.

Total DFT energy (no corrections)   -4.602 eV/atom

Lattice parameters (Å, degrees): 7.663 4.396 8.096 90.00 108.12 90.00
Space group P2/m (No. 10)
One atom of each set of equivalent atoms:
Na (0.000, 0.000, 0.000) x1
Na (0.500, 0.500, 0.000) x1
Dy (0.000, 0.500, 0.500) x1
Th (0.500, 0.000, 0.500) x1
Te (0.241, 0.000, 0.736) x2
Te (0.247, 0.500, 0.258) x2

Record 16
Here is crystalline CsReAu2 at its relaxed geometry from Alexandria via LeMat-Bulk. Energies are from GGA-PBE.

Formation enthalpy at 0 K   1.47 eV per atom
Total DFT energy (no corrections)   -3.491 eV/atom

Lattice parameters (Å, degrees): 7.185 7.185 7.185 90.00 90.00 90.00
Space group Fm-3m (No. 225)
One atom of each set of equivalent atoms:
Cs (0.000, 0.000, 0.000) x4
Re (0.000, 0.000, 0.500) x4
Au (0.250, 0.250, 0.250) x8

Record 17
Here is crystalline Tb3Nd6HoEr2 at its relaxed geometry from Alexandria via LeMat-Bulk. Energies are from GGA-PBE.

Formation enthalpy at 0 K   0.01 eV per atom
Total DFT energy (no corrections)   -4.672 eV/atom

Lattice parameters (Å, degrees): 6.270 10.860 11.849 90.00 100.12 90.00
Space group C2/m (No. 12)
One atom of each set of equivalent atoms:
Tb (0.000, 0.000, 0.000) x2
Tb (0.000, 0.333, 0.000) x4
Nd (0.250, 0.000, 0.749) x4
Nd (0.250, 0.167, 0.251) x8
Ho (0.000, 0.500, 0.500) x2
Er (0.000, 0.167, 0.500) x4

Record 18
Here is crystalline Na3Pr3NpO8 at its relaxed geometry from Alexandria via LeMat-Bulk. Energies are from GGA-PBE.

Total DFT energy (no corrections)   -7.365 eV/atom

Lattice parameters (Å, degrees): 7.2233 7.2233 16.8825 90.00 90.00 120.00
Space group R-3m (No. 166, hexagonal axes)
One atom of each set of equivalent atoms:
Na (0.0000, 0.5000, 0.0000) x9
Pr (0.0000, 0.5000, 0.5000) x9
Np (0.0000, 0.0000, 0.5000) x3
O (0.0000, 0.0000, 0.2386) x6
O (0.0243, 0.5122, 0.2342) x18

Record 19
Here is crystalline PmDyLuZr at its relaxed geometry from Alexandria via LeMat-Bulk. Energies are from GGA-PBE.

Formation enthalpy at 0 K   0.21 eV per atom
Total DFT energy (no corrections)   -5.400 eV/atom

Lattice parameters (Å, degrees): 7.762 7.762 7.762 90.00 90.00 90.00
Space group F-43m (No. 216)
One atom of each set of equivalent atoms:
Pm (0.000, 0.000, 0.000) x4
Dy (0.000, 0.000, 0.500) x4
Lu (0.250, 0.250, 0.750) x4
Zr (0.250, 0.250, 0.250) x4

Record 20
Here is crystalline CsYbCl3 at its relaxed geometry from Alexandria via LeMat-Bulk. Energies are from GGA-PBE.

Total DFT energy (no corrections)   -3.806 eV/atom

Lattice parameters (Å, degrees): 5.480 5.480 5.480 90.00 90.00 90.00
Space group Pm-3m (No. 221)
One atom of each set of equivalent atoms:
Cs (0.000, 0.000, 0.000) x1
Yb (0.500, 0.500, 0.500) x1
Cl (0.000, 0.500, 0.500) x3